# 1
A relaxed structure of Li2Ge3Te4, computed with PBE.

Cell lengths 14.349, 4.330, 10.985 Å; angles 90.00, 129.01, 90.00 degrees
Space group C2/m (No. 12)
Symmetry-distinct sites (fractional):
Li 0.152 0.000 0.369 x4
Ge 0.000 0.500 0.000 x2
Ge 0.192 0.500 0.805 x4
Te 0.089 0.000 0.899 x4
Te 0.247 0.500 0.317 x4

Summary:
* raw formation energy: -2.89 eV/f.u.



# 2
A relaxed structure of BaAsAu, computed with PBE.

Cell lengths 4.595, 4.595, 8.988 Å; angles 90.00, 90.00, 90.00 degrees
Space group I4mm (No. 107)
Symmetry-distinct sites (fractional):
Ba 0.000 0.000 0.000 x2
As 0.000 0.000 0.355 x2
Au 0.000 0.000 0.632 x2

Summary:
* formation energy from the elements: -0.444 eV per atom



# 3
A relaxed structure of Sc3Zn2Pd6, computed with PBE.

Cell lengths 9.296, 9.296, 9.296 Å; angles 90.00, 90.00, 90.00 degrees
Space group Im-3m (No. 229)
Symmetry-distinct sites (fractional):
Sc 0.000 0.000 0.305 x12
Zn 0.250 0.250 0.250 x8
Pd 0.000 0.340 0.340 x24

Summary:
* formation energy from the elements: -0.659 eV per atom



# 4
A relaxed structure of CaHfV2Ga, computed with PBE.

Cell lengths 4.377, 4.377, 5.066 Å; angles 90.00, 90.00, 90.00 degrees
Space group P4/mmm (No. 123)
Symmetry-distinct sites (fractional):
Ca 0.000 0.000 0.000 x1
Hf 0.500 0.500 0.500 x1
V 0.000 0.500 0.000 x2
Ga 0.000 0.000 0.500 x1

Summary:
* formation energy from the elements: 1.602 eV per atom



# 5
A relaxed structure of Th4InCu, computed with PBE.

Cell lengths 7.441, 7.441, 12.498 Å; angles 90.00, 90.00, 90.00 degrees
Space group I4/mcm (No. 140)
Symmetry-distinct sites (fractional):
Th 0.155 0.345 0.139 x16
In 0.000 0.000 0.000 x4
Cu 0.000 0.000 0.250 x4

Summary:
* formation energy from the elements: -0.010 eV per atom



# 6
A relaxed structure of ErMnAgBr6, computed with PBE.

Cell lengths 6.9286, 6.9286, 12.9518 Å; angles 90.00, 90.00, 120.00 degrees
Space group P-31c (No. 163)
Symmetry-distinct sites (fractional):
Er 0.3333 0.6667 0.2500 x2
Mn 0.3333 0.6667 0.7500 x2
Ag 0.0000 0.0000 0.0000 x2
Br 0.0097 0.3543 0.6293 x12

Summary:
* raw formation energy: -10.23 eV/f.u.



no.,electronic total energy (Ha/atom),volume (Å³/f.u.)
1,-0.1353,265
2,-0.1370,95
3,-0.2003,201
4,-0.1853,97
5,-0.2240,173
6,-0.1505,269